Density functional theory data (GGA-PBE) for an optimized crystal structure of SmZnGaCu2.

Cell: 4.039 4.002 6.191 Å, 108.86 109.04 90.00°
Sites, in units of the cell vectors:
Sm 0.449 0.449 0.899
Zn 0.187 0.687 0.375
Ga 0.831 0.831 0.661
Cu 0.692 0.192 0.384
Cu 0.053 0.053 0.106

SG: No. 44
DFT formation energy, meV/atom: -303.1


Density functional theory data (GGA-PBE) for an optimized crystal structure of KLa2Al.

Cell: 4.287 3.687 10.688 Å, 69.65 90.00 90.00°
Sites, in units of the cell vectors:
K 0.500 0.750 0.750
Al 0.500 0.250 0.250
La 0.000 0.908 0.094
La 0.000 0.592 0.406

SG: No. 10
DFT formation energy, meV/atom: 5.4


Density functional theory data (GGA-PBE) for an optimized crystal structure of LiNdAg2Cl6.

Cell: 6.850 6.846 7.379 Å, 89.99 117.65 120.04°
Sites, in units of the cell vectors:
Li 0.987 0.993 0.965
Nd 0.985 0.492 0.463
Ag 0.579 0.789 0.353
Ag 0.587 0.293 0.867
Cl 0.498 0.890 0.699
Cl 0.471 0.095 0.186
Cl 0.826 0.729 0.186
Cl 0.106 0.375 0.187
Cl 0.822 0.607 0.698
Cl 0.104 0.214 0.698

SG: No. 1
ΔE_f (raw), eV/atom: -1.42


What did we get for volume? Answer: 17.78, 39.60, 25.29 Å³ per atom, in the order shown.